# BaHf2RhF (SCAN, PBEsol geometry)
# DOS(E_F) in states/eV/f.u.: 5.189
# Mass density in g cm⁻³: 10.27
# Energy relative to the elements, uncorrected in eV/atom: -0.230
data_BaHf2RhF
_chemical_formula_sum 'Ba1 Hf2 Rh1 F1'
_symmetry_space_group_name_H-M 'P 1'
_symmetry_Int_Tables_number 1
_cell_length_a 4.410
_cell_length_b 4.410
_cell_length_c 5.125
_cell_angle_alpha 90.00
_cell_angle_beta 90.00
_cell_angle_gamma 90.00
loop_
_symmetry_equiv_pos_as_xyz
'x,y,z'
loop_
_atom_site_label
_atom_site_fract_x
_atom_site_fract_y
_atom_site_fract_z
Ba1 0.000 0.000 0.000
Hf1 0.000 0.500 0.500
Hf2 0.500 0.000 0.500
Rh1 0.500 0.500 0.000
F1 0.000 0.000 0.500


# BaHfRuF2 (SCAN, PBEsol geometry)
# DOS(E_F) in states/eV/f.u.: 3.610
# Mass density in g cm⁻³: 4.11
# Energy relative to the elements, uncorrected in eV/atom: -0.485
data_BaHfRuF2
_chemical_formula_sum 'Ba1 Hf1 Ru1 F2'
_symmetry_space_group_name_H-M 'P 1'
_symmetry_Int_Tables_number 1
_cell_length_a 4.492
_cell_length_b 4.492
_cell_length_c 9.099
_cell_angle_alpha 90.00
_cell_angle_beta 90.00
_cell_angle_gamma 90.00
loop_
_symmetry_equiv_pos_as_xyz
'x,y,z'
loop_
_atom_site_label
_atom_site_fract_x
_atom_site_fract_y
_atom_site_fract_z
Ba1 0.000 0.000 0.000
Hf1 0.000 0.000 0.500
Ru1 0.500 0.500 0.500
F1 0.000 0.500 0.000
F2 0.500 0.000 0.000


# BaNb2HgF (SCAN, PBEsol geometry)
# DOS(E_F) in states/eV/f.u.: 5.350
# Mass density in g cm⁻³: 7.09
# Energy relative to the elements, uncorrected in eV/atom: 1.207
data_BaNb2HgF
_chemical_formula_sum 'Ba1 Nb2 Hg1 F1'
_symmetry_space_group_name_H-M 'P 1'
_symmetry_Int_Tables_number 1
_cell_length_a 5.274
_cell_length_b 5.274
_cell_length_c 4.568
_cell_angle_alpha 90.00
_cell_angle_beta 90.00
_cell_angle_gamma 90.00
loop_
_symmetry_equiv_pos_as_xyz
'x,y,z'
loop_
_atom_site_label
_atom_site_fract_x
_atom_site_fract_y
_atom_site_fract_z
Ba1 0.000 0.000 0.000
Nb1 0.000 0.500 0.000
Nb2 0.500 0.000 0.000
Hg1 0.500 0.500 0.500
F1 0.000 0.000 0.500


# BaSi2HgF (SCAN, PBEsol geometry)
# DOS(E_F) in states/eV/f.u.: 5.890
# Mass density in g cm⁻³: 3.00
# Energy relative to the elements, uncorrected in eV/atom: 1.133
data_BaSi2HgF
_chemical_formula_sum 'Ba1 Si2 Hg1 F1'
_symmetry_space_group_name_H-M 'P 1'
_symmetry_Int_Tables_number 1
_cell_length_a 5.923
_cell_length_b 5.923
_cell_length_c 6.506
_cell_angle_alpha 90.00
_cell_angle_beta 90.00
_cell_angle_gamma 90.00
loop_
_symmetry_equiv_pos_as_xyz
'x,y,z'
loop_
_atom_site_label
_atom_site_fract_x
_atom_site_fract_y
_atom_site_fract_z
Ba1 0.000 0.000 0.000
Si1 0.000 0.500 0.000
Si2 0.500 0.000 0.000
Hg1 0.000 0.000 0.500
F1 0.500 0.500 0.500